Entry from Alexandria: a relaxed SrLiZnW2 crystal (PBE).

Crystal system: tetragonal
ρ: 8.77 g/cm3
ΔH_f (0 K): 1.69 eV/atom
E_tot: -4.47 eV/atom

Unit cell a=4.404 b=4.404 c=5.152 alpha=90.00 beta=90.00 gamma=90.00
Space group P4/mmm (No. 123)
Asymmetric unit:
Sr (0.000, 0.000, 0.000) (multiplicity 1)
Li (0.000, 0.000, 0.500) (multiplicity 1)
Zn (0.500, 0.500, 0.000) (multiplicity 1)
W (0.000, 0.500, 0.500) (multiplicity 2)